Ba6Sr3Zn (PBE, relaxed); D(E_F) = 1.471 states/eV/atom; density = 3.44 g/cm3; formation energy = 3.06 kJ per mole of atoms
1.0
-4.184 0.902 -0.502
-0.157 -8.044 -13.146
-3.893 -8.271 17.596
Ba Sr Zn
12 6 2
Direct
0.750 0.588 0.705
0.250 0.412 0.295
0.750 0.854 0.111
0.250 0.146 0.889
0.750 0.398 0.104
0.250 0.602 0.896
0.750 0.724 0.327
0.250 0.276 0.673
0.750 0.051 0.425
0.250 0.949 0.575
0.750 0.887 0.732
0.250 0.113 0.268
0.750 0.374 0.891
0.250 0.626 0.109
0.750 0.632 0.507
0.250 0.368 0.493
0.750 0.128 0.087
0.250 0.872 0.913
0.750 0.127 0.732
0.250 0.873 0.268